Computed, not measured: TmNbAs2Rh5 after structural relaxation at the PBE level of DFT.

Cell lengths 3.9703, 3.9703, 11.1025 Å; angles 90.00, 90.00, 90.00 degrees
Fractional coordinates of all 9 atoms:
Tm  0.5000  0.5000  0.5000
Nb  0.0000  0.0000  0.0000
As  0.0000  0.0000  0.7135
As  0.0000  0.0000  0.2865
Rh  0.0000  0.0000  0.5000
Rh  0.0000  0.5000  0.8472
Rh  0.5000  0.0000  0.1528
Rh  0.0000  0.5000  0.1528
Rh  0.5000  0.0000  0.8472

- Calculated volume: 175.01 Å³/cell
- Formation energy from the elements: -218 kJ/mol of formula units
- Magnetization: 0.000 Bohr magnetons per cell
- Symmetry: P4/mmm (123)